# CuRe2Ir | Alexandria via LeMat-Bulk | GGA-PBE | optimized geometry
# ΔH_f (0 K) (eV per atom): 0.296
data_CuRe2Ir
_chemical_formula_sum 'Cu1 Re2 Ir1'
_cell_length_a 5.210
_cell_length_b 5.210
_cell_length_c 5.210
_cell_angle_alpha 148.63
_cell_angle_beta 128.99
_cell_angle_gamma 61.11
_symmetry_space_group_name_H-M 'P 1'
_symmetry_Int_Tables_number 1
_symmetry_space_group_name_Hall 'P 1'
loop_
_atom_site_label
_atom_site_type_symbol
_atom_site_fract_x
_atom_site_fract_y
_atom_site_fract_z
Cu1 Cu 0.499 0.499 0.000
Re1 Re 0.735 0.235 0.500
Ir1 Ir 0.263 0.763 0.500
Re2 Re 0.002 0.002 0.000